Record 1
ReAgBi3 | PBE-GGA | optimized geometry

Cell and atoms, written as extended XYZ:
```
5
Lattice="-1.824 -1.352 4.845 -3.330 -3.538 -2.241 3.770 -3.779 0.365" Properties=species:S:1:pos:R:3 pbc="T T T"
Re 0.000 0.000 0.000
Bi -1.665 -1.769 -1.121
Bi 1.885 -1.890 0.182
Bi -0.912 -0.676 2.423
Ag -0.692 -4.335 1.484
```

Calculated total energy = -22.599 eV for the cell shown
Energy relative to the elements = 0.869 eV/atom
ρ = 10.0 g cm⁻³
DOS(E_F) = 7.94 states/eV per cell
Space group = Pm-3m (221)
Relative energy among the computed polymorphs = 0.0 meV per atom



Record 2
Sr2Ga3Ag4Ge | PBE-GGA | optimized geometry

Cell and atoms, written as extended XYZ:
```
10
Lattice="4.529 0.000 0.000 0.000 4.529 0.000 0.000 0.000 10.972" Properties=species:S:1:pos:R:3 pbc="T T T"
Sr 2.264 0.000 2.776
Sr 0.000 2.264 8.196
Ga 0.000 0.000 5.486
Ga 2.264 0.000 9.578
Ga 0.000 2.264 1.393
Ag 2.264 2.264 0.000
Ag 0.000 0.000 0.000
Ag 2.264 0.000 6.960
Ag 0.000 2.264 4.012
Ge 2.264 2.264 5.486
```

Calculated total energy = -31.334 eV for the cell shown
Energy relative to the elements = -0.287 eV/atom
ρ = 6.6 g cm⁻³
DOS(E_F) = 5.03 states/eV per cell
Space group = P-4m2 (115)



> Which formula does entry 1 have?

ReAgBi3